Entry 1:
Below is K2SrMoCl8 after structural relaxation, with properties calculated at the PBE level.

## Properties
Raw total energy = -4.048 eV/atom
Fermi-level density of states = 7.02 states/eV per cell
Crystal system = monoclinic
SG = P2/m, No. 10

Cell and atoms, written as POSCAR:
```
K2SrMoCl8
1.0
-3.0095 -1.9566 -5.8213
5.9673 -2.7346 -1.9381
-2.2237 -7.4449 3.6521
K Cl Mo Sr
2 8 1 1
Direct
0.4998 0.5000 0.7560
0.5002 0.5000 0.2440
0.6772 0.7428 0.5000
0.1331 0.7953 0.7969
0.8671 0.2048 0.7969
0.8669 0.2047 0.2031
0.1329 0.7952 0.2031
0.2923 0.1933 0.0001
0.7077 0.8067 0.9999
0.3228 0.2572 0.5000
0.0000 0.0000 0.0000
0.0000 0.0000 0.5000
```


Entry 2:
Below is KSrMoCl6 after structural relaxation, with properties calculated at the PBE level.

## Properties
Raw total energy = -4.389 eV/atom
Fermi-level density of states = 0.00 states/eV per cell
Crystal system = trigonal
SG = P-31c, No. 163

Cell and atoms, written as POSCAR:
```
KSrMoCl6
1.0
7.0948 0.0000 0.0000
-3.5474 6.1443 0.0000
0.0000 0.0000 13.2976
Cl Sr Mo K
12 2 2 2
Direct
0.6120 0.6585 0.6410
0.3415 0.9535 0.6410
0.3880 0.0465 0.1410
0.6120 0.9535 0.8590
0.3415 0.3880 0.8590
0.6585 0.6120 0.1410
0.0465 0.3880 0.6410
0.3880 0.3415 0.3590
0.6585 0.0465 0.3590
0.9535 0.3415 0.1410
0.0465 0.6585 0.8590
0.9535 0.6120 0.3590
0.6667 0.3333 0.7500
0.3333 0.6667 0.2500
0.6667 0.3333 0.2500
0.3333 0.6667 0.7500
0.0000 0.0000 0.0000
0.0000 0.0000 0.5000
```


Copy entry 2 word for word.
Below is KSrMoCl6 after structural relaxation, with properties calculated at the PBE level.

## Properties
Raw total energy = -4.389 eV/atom
Fermi-level density of states = 0.00 states/eV per cell
Crystal system = trigonal
SG = P-31c, No. 163

Cell and atoms, written as POSCAR:
```
KSrMoCl6
1.0
7.0948 0.0000 0.0000
-3.5474 6.1443 0.0000
0.0000 0.0000 13.2976
Cl Sr Mo K
12 2 2 2
Direct
0.6120 0.6585 0.6410
0.3415 0.9535 0.6410
0.3880 0.0465 0.1410
0.6120 0.9535 0.8590
0.3415 0.3880 0.8590
0.6585 0.6120 0.1410
0.0465 0.3880 0.6410
0.3880 0.3415 0.3590
0.6585 0.0465 0.3590
0.9535 0.3415 0.1410
0.0465 0.6585 0.8590
0.9535 0.6120 0.3590
0.6667 0.3333 0.7500
0.3333 0.6667 0.2500
0.6667 0.3333 0.2500
0.3333 0.6667 0.7500
0.0000 0.0000 0.0000
0.0000 0.0000 0.5000
```


Q: The highest Fermi-level density of states belongs to which entry?
A: K2SrMoCl8


Q: Look up the raw total energy of the second one.
A: -4.389 eV/atom


Q: Which value of Fermi-level density of states does entry 2 give?
A: 0.00 states/eV per cell